{
  "formula": "Zn2Ir2O5",
  "functional": "GGA-PBE",
  "state": "relaxed",
  "e_above_lowest_polymorph_mev_per_atom": 0,
  "total_energy_ev_per_cell": -47.79,
  "cell": [[6.772, 0.000, 0.000], [0.000, 3.901, 0.000], [0.000, 0.000, 3.901]],
  "species": ["Ir", "Ir", "O", "O", "O", "O", "O", "Zn", "Zn"],
  "frac_coords": [[0.185, 0.500, 0.500], [0.815, 0.500, 0.500], [0.197, 0.500, 0.000], [0.803, 0.500, 0.000], [0.197, 0.000, 0.500], [0.803, 0.000, 0.500], [0.500, 0.500, 0.500], [0.000, 0.000, 0.000], [0.500, 0.000, 0.000]]
}